Version a
# AlV2Si

AlV2Si after structural relaxation (PBE, the Alexandria database). Values from VASP.

Structure (Quantum ESPRESSO input):
```
&SYSTEM
  ibrav = 0, nat = 4, ntyp = 3
/
ATOMIC_SPECIES
Si 28.09 Si.upf
Al 26.98 Al.upf
V 50.94 V.upf
ATOMIC_POSITIONS crystal
Si 0.400 0.500 0.946
Al 0.432 0.000 0.644
V 0.841 0.500 0.438
V 0.997 0.000 0.146
CELL_PARAMETERS angstrom
-1.947 0.148 -1.800
-0.339 -4.288 0.015
-2.820 0.236 3.791
```



Version b
# AlV2Si

AlV2Si after structural relaxation (PBE, the Alexandria database). Values from VASP.

Structure (Quantum ESPRESSO input):
```
&SYSTEM
  ibrav = 0, nat = 8, ntyp = 3
/
ATOMIC_SPECIES
Si 28.09 Si.upf
Al 26.98 Al.upf
V 50.94 V.upf
ATOMIC_POSITIONS crystal
Si 0.716 0.734 0.990
Si 0.202 0.971 0.378
Al 0.719 0.224 0.259
Al 0.198 0.458 0.659
V 0.223 0.951 0.876
V 0.701 0.224 0.764
V 0.705 0.702 0.498
V 0.231 0.489 0.141
CELL_PARAMETERS angstrom
4.742 0.001 -0.002
0.576 4.912 0.002
2.223 0.419 4.663
```



So which one is most stable? That would be version a, about 6 meV per atom below the next structure.